28
Lattice="-2.8910 5.7901 4.2293 2.8910 -5.7901 4.2293 2.8910 5.7901 -4.2293" Properties=species:S:1:pos:R:3 comment="Co2SiO4 | the Alexandria database | GGA+U | optimized geometry" rho_g_cm3=4.92 dos_at_fermi_per_ev_cell=0.00 volume_a3_per_atom=10.1 de_polymorph_mev_per_atom=46.4 pbc="T T T"
Co 0.0000 0.0000 0.0000
Co 1.4455 4.3528 -2.1147
Co 1.4455 -1.4373 2.1147
Co 0.0000 2.8950 0.2152
Co 0.0000 5.7901 0.0000
Co 2.8910 2.8950 4.0141
Co -1.4455 7.2274 2.1147
Co 1.4455 7.2274 2.1147
Si 2.8910 1.4103 0.9931
Si 2.8910 4.3798 0.9931
Si 0.0000 1.4103 3.2362
Si 0.0000 4.3798 3.2362
O 2.8910 -2.8950 2.3435
O 1.5202 1.4333 0.0678
O 4.2618 1.4333 0.0678
O 2.8910 0.1515 2.0748
O 0.0000 0.1515 2.1546
O 1.5202 4.3568 0.0678
O 1.3708 -1.4333 4.2971
O 2.8910 2.8950 1.8149
O 0.0000 2.8950 2.4144
O 1.5202 7.2234 -0.0678
O 1.3708 1.4333 4.1615
O 2.8910 5.6386 2.0748
O 0.0000 5.6386 2.1546
O -1.3708 4.3568 4.1615
O 1.3708 4.3568 4.1615
O 0.0000 8.6851 1.8858